No. 1
Below is crystalline Tb2Pm5Y at its relaxed geometry, with properties calculated at the PBE level.

Lattice parameters (Å, degrees): 9.730 9.730 6.617 98.80 98.80 62.14
Fractional coordinates of all 16 atoms:
Tb 0.165 0.677 0.871
Tb 0.323 0.835 0.629
Tb 0.677 0.165 0.371
Tb 0.835 0.323 0.129
Pm 0.003 0.191 0.645
Pm 0.191 0.003 0.145
Pm 0.211 0.386 0.478
Pm 0.386 0.211 0.978
Pm 0.443 0.557 0.250
Pm 0.557 0.443 0.750
Pm 0.614 0.789 0.022
Pm 0.789 0.614 0.522
Pm 0.809 0.997 0.855
Pm 0.997 0.809 0.355
Y 0.000 0.500 0.000
Y 0.500 0.000 0.500

Results
Excess energy over the best structure of this formula in the dataset   3.18 kcal/mol of atoms
Calculated density   6.9 Mg/m³
Spin magnetization   0.000 Bohr magnetons per cell
Total DFT energy (no corrections)   -4.78 eV/atom
V   545 Å³/cell
Formation enthalpy at 0 K   3.52 kcal/mol of atoms

No. 2
Below is crystalline Fe2CuRh4 at its relaxed geometry, with properties calculated at the PBE level.

Lattice parameters (Å, degrees): 8.707 8.707 8.707 162.21 151.27 33.99
Fractional coordinates of all 7 atoms:
Fe 0.082 0.082 0.000
Fe 0.918 0.918 0.000
Cu 0.500 0.000 0.500
Rh 0.225 0.725 0.500
Rh 0.370 0.370 0.000
Rh 0.630 0.630 0.000
Rh 0.775 0.275 0.500

Results
Calculated density   10.1 Mg/m³
Spin magnetization   6.697 Bohr magnetons per cell
Total DFT energy (no corrections)   -7.07 eV/atom
V   97 Å³/cell
Formation enthalpy at 0 K   3.03 kcal/mol of atoms

No. 3
Below is crystalline Th6CoP2C3 at its relaxed geometry, with properties calculated at the PBE level.

Lattice parameters (Å, degrees): 8.830 8.830 8.031 104.39 104.39 25.42
Fractional coordinates of all 12 atoms:
Th 0.008 0.008 0.241
Th 0.330 0.330 0.435
Th 0.338 0.338 0.900
Th 0.662 0.662 0.100
Th 0.670 0.670 0.565
Th 0.992 0.992 0.759
Co 0.500 0.500 0.500
P 0.166 0.166 0.834
P 0.834 0.834 0.166
C 0.170 0.170 0.333
C 0.500 0.500 0.000
C 0.830 0.830 0.667

Results
Calculated density   9.9 Mg/m³
Spin magnetization   0.000 Bohr magnetons per cell
Total DFT energy (no corrections)   -8.15 eV/atom
V   260 Å³/cell
Formation enthalpy at 0 K   -14.66 kcal/mol of atoms

No. 4
Below is crystalline LaPrGdHg at its relaxed geometry, with properties calculated at the PBE level.

Lattice parameters (Å, degrees): 5.588 5.588 5.588 60.00 60.00 60.00
Fractional coordinates of all 4 atoms:
La 0.000 0.000 0.000
Pr 0.500 0.500 0.500
Gd 0.750 0.750 0.750
Hg 0.250 0.250 0.250

Results
Calculated density   8.6 Mg/m³
Spin magnetization   7.910 Bohr magnetons per cell
Total DFT energy (no corrections)   -6.13 eV/atom
V   123 Å³/cell
Formation enthalpy at 0 K   -2.48 kcal/mol of atoms

No. 5
Below is crystalline MgPb2Br at its relaxed geometry, with properties calculated at the PBE level.

Lattice parameters (Å, degrees): 3.624 3.624 10.571 90.00 90.00 118.09
Fractional coordinates of all 4 atoms:
Mg 0.000 0.000 0.000
Pb 0.000 0.000 0.491
Pb 0.500 0.500 0.232
Br 0.500 0.500 0.833

Results
Excess energy over the best structure of this formula in the dataset   0.00 kcal/mol of atoms
Calculated density   7.0 Mg/m³
Spin magnetization   0.000 Bohr magnetons per cell
Total DFT energy (no corrections)   -3.02 eV/atom
ΔE_f (raw)   -0.347 eV per atom
V   123 Å³/cell

No. 6
Below is crystalline Ca2Be3ZnPt4 at its relaxed geometry, with properties calculated at the PBE level.

Lattice parameters (Å, degrees): 4.056 4.056 9.913 90.00 90.00 90.00
Fractional coordinates of all 10 atoms:
Ca 0.000 0.500 0.243
Ca 0.500 0.000 0.757
Be 0.000 0.500 0.884
Be 0.500 0.000 0.116
Be 0.500 0.500 0.500
Zn 0.000 0.000 0.500
Pt 0.000 0.000 0.000
Pt 0.000 0.500 0.647
Pt 0.500 0.000 0.353
Pt 0.500 0.500 0.000

Results
Calculated density   9.7 Mg/m³
Spin magnetization   0.000 Bohr magnetons per cell
Total DFT energy (no corrections)   -4.83 eV/atom
V   163 Å³/cell
Formation enthalpy at 0 K   -17.63 kcal/mol of atoms

Q: Which of these has the lowest calculated density?
A: Tb2Pm5Y

Q: Which value of V does entry 3 give?
A: 260 Å³/cell

Q: The highest calculated density belongs to which entry?
A: Fe2CuRh4